# K3PuAl2O6

A relaxed K3PuAl2O6 crystal (PBE-GGA, Alexandria).

Cell and atoms, written as POSCAR:
```
K3PuAl2O6
1.0
6.061 0.000 0.000
-3.030 5.249 0.000
0.000 0.000 7.283
K Pu Al O
3 1 2 6
Direct
0.000 0.000 0.000
0.333 0.667 0.734
0.667 0.333 0.266
0.000 0.000 0.500
0.333 0.667 0.284
0.667 0.333 0.716
0.170 0.341 0.303
0.170 0.830 0.303
0.341 0.170 0.697
0.659 0.830 0.303
0.830 0.170 0.697
0.830 0.659 0.697
```

Properties
Crystal system: trigonal
Theoretical density: 3.665 g/cm3
V: 19.30 Å³ per atom
Energy relative to the elements, uncorrected: -2250 meV/atom
Density of states at the Fermi level: 7.538 states/eV/cell

***

# MgAl2Pd

A relaxed MgAl2Pd crystal (PBE-GGA, Alexandria).

Cell and atoms, written as POSCAR:
```
MgAl2Pd
1.0
3.723 0.000 0.000
-1.862 3.224 0.000
0.000 0.000 20.137
Mg Al Pd
3 6 3
Direct
0.000 0.000 0.000
0.333 0.667 0.667
0.667 0.333 0.333
0.000 0.000 0.234
0.000 0.000 0.437
0.333 0.667 0.104
0.333 0.667 0.901
0.667 0.333 0.567
0.667 0.333 0.770
0.000 0.000 0.840
0.333 0.667 0.506
0.667 0.333 0.173
```

Properties
Crystal system: trigonal
Theoretical density: 3.806 g/cm3
V: 20.15 Å³ per atom
Energy relative to the elements: -145 meV/atom
Density of states at the Fermi level: 2.633 states/eV/cell

***

# YGe2As2

A relaxed YGe2As2 crystal (PBE-GGA, Alexandria).

Cell and atoms, written as POSCAR:
```
YGe2As2
1.0
3.905 0.000 0.000
0.000 3.905 0.000
0.000 0.000 14.465
Y Ge As
2 4 4
Direct
0.000 0.000 0.000
0.500 0.500 0.500
0.000 0.500 0.250
0.000 0.500 0.750
0.500 0.000 0.250
0.500 0.000 0.750
0.000 0.000 0.410
0.000 0.000 0.590
0.500 0.500 0.090
0.500 0.500 0.910
```

Properties
Crystal system: tetragonal
Theoretical density: 5.782 g/cm3
V: 22.06 Å³ per atom
Energy relative to the elements: -303 meV/atom
Density of states at the Fermi level: 3.126 states/eV/cell

***

# CoSi2Os

A relaxed CoSi2Os crystal (PBE-GGA, Alexandria).

Cell and atoms, written as POSCAR:
```
CoSi2Os
1.0
7.677 0.000 0.000
0.000 2.815 0.000
-0.931 0.000 4.593
Co Si Os
2 4 2
Direct
0.000 0.000 0.000
0.500 0.500 0.000
0.248 0.500 0.236
0.252 0.000 0.764
0.748 0.000 0.236
0.752 0.500 0.764
0.000 0.500 0.500
0.500 0.000 0.500
```

Properties
Crystal system: monoclinic
Theoretical density: 10.217 g/cm3
V: 12.41 Å³ per atom
Energy relative to the elements, uncorrected: -245 meV/atom
Density of states at the Fermi level: 3.859 states/eV/cell

***

# AsIrOs2

A relaxed AsIrOs2 crystal (PBE-GGA, Alexandria).

Cell and atoms, written as POSCAR:
```
AsIrOs2
1.0
2.871 0.000 0.000
0.000 2.871 0.000
0.000 0.000 7.052
As Ir Os
1 1 2
Direct
0.000 0.000 0.000
0.000 0.000 0.500
0.500 0.500 0.235
0.500 0.500 0.765
```

Properties
Crystal system: tetragonal
Theoretical density: 18.497 g/cm3
V: 14.53 Å³ per atom
Energy relative to the elements: 410 meV/atom
Density of states at the Fermi level: 3.188 states/eV/cell

***

# CaY2PaSb4

A relaxed CaY2PaSb4 crystal (PBE-GGA, Alexandria).

Cell and atoms, written as POSCAR:
```
CaY2PaSb4
1.0
7.629 0.000 0.000
0.000 4.410 0.000
-2.498 0.000 7.220
Ca Y Pa Sb
1 2 1 4
Direct
0.000 0.000 0.000
0.500 0.000 0.500
0.500 0.500 0.000
0.000 0.500 0.500
0.250 0.000 0.746
0.251 0.500 0.258
0.749 0.500 0.742
0.750 0.000 0.254
```

Properties
Crystal system: monoclinic
Theoretical density: 6.398 g/cm3
V: 30.36 Å³ per atom
Energy relative to the elements, uncorrected: -941 meV/atom
Density of states at the Fermi level: 5.167 states/eV/cell